This record from Alexandria describes a relaxed structure of YPb. The functional is PBE.

Output
**Symmetry**: Cm, No. 8
**Calculated density**: 8.18 g cm⁻³

abc: 12.0239 3.7237 8.2650
angles: 90.00 102.91 90.00
Closest atoms and distances in Å follow each position.
Element x y z (fractional)
Y  0.0000  0.0000  0.0000  6 Pb 3.08-3.34
Y  0.1584  0.5000  0.7086  7 Pb 3.16-3.42
Y  0.3281  0.5000  0.3539  7 Pb 3.20-3.39
Y  0.5000  0.5000  0.0000  6 Pb 3.08-3.34
Y  0.6584  0.0000  0.7086  7 Pb 3.16-3.42
Y  0.8281  0.0000  0.3539  7 Pb 3.20-3.39
Pb  0.0971  0.0000  0.3778  6 Y 3.08-3.39
Pb  0.2729  0.0000  0.0218  7 Y 3.24-3.34, 1 Pb 3.42
Pb  0.3925  0.0000  0.6838  7 Y 3.16-3.42, 1 Pb 3.42
Pb  0.5971  0.5000  0.3778  6 Y 3.08-3.39
Pb  0.7729  0.5000  0.0218  7 Y 3.24-3.34, 1 Pb 3.42
Pb  0.8925  0.5000  0.6838  7 Y 3.16-3.42, 1 Pb 3.42

=====

This record from Alexandria describes a relaxed structure of NaScCd4. The functional is PBE.

Output
**Symmetry**: C2/m, No. 12
**Calculated density**: 6.35 g cm⁻³
**Energy above the lowest structure with this stoichiometry**: 0.0 meV/atom

abc: 10.3062 3.2063 9.1037
angles: 90.00 115.83 90.00
Closest atoms and distances in Å follow each position.
Element x y z (fractional)
Na  0.0000  0.0000  0.0000  10 Cd 3.08-3.24, 2 Na 3.21
Na  0.5000  0.5000  0.0000  10 Cd 3.08-3.24, 2 Na 3.21
Sc  0.0000  0.0000  0.5000  10 Cd 3.10-3.14, 2 Sc 3.21
Sc  0.5000  0.5000  0.5000  10 Cd 3.10-3.14, 2 Sc 3.21
Cd  0.1653  0.5000  0.3397  7 Cd 3.09-3.21, 3 Sc 3.10-3.13, 2 Na 3.23
Cd  0.1679  0.5000  0.8258  3 Na 3.08-3.24, 7 Cd 3.09-3.29, 2 Sc 3.14
Cd  0.3321  0.0000  0.1742  3 Na 3.08-3.24, 7 Cd 3.09-3.29, 2 Sc 3.14
Cd  0.3347  0.0000  0.6603  7 Cd 3.09-3.21, 3 Sc 3.10-3.13, 2 Na 3.23
Cd  0.6653  0.0000  0.3397  7 Cd 3.09-3.21, 3 Sc 3.10-3.13, 2 Na 3.23
Cd  0.6679  0.0000  0.8258  3 Na 3.08-3.24, 7 Cd 3.09-3.29, 2 Sc 3.14
Cd  0.8321  0.5000  0.1742  3 Na 3.08-3.24, 7 Cd 3.09-3.29, 2 Sc 3.14
Cd  0.8347  0.5000  0.6603  7 Cd 3.09-3.21, 3 Sc 3.10-3.13, 2 Na 3.23

=====

This record from Alexandria describes a relaxed structure of KBaCu. The functional is PBE.

Output
**Symmetry**: Cm, No. 8
**Calculated density**: 2.80 g cm⁻³
**Energy above the lowest structure with this stoichiometry**: 0.0 meV/atom

abc: 7.8186 4.5137 16.1519
angles: 90.00 90.02 90.00
Closest atoms and distances in Å follow each position.
Element x y z (fractional)
K  0.0000  0.0000  0.0000  9 K 4.51-4.77, 3 Ba 4.77-4.78
K  0.1667  0.5000  0.2475  9 K 4.51-4.77, 3 Ba 4.77-4.78
K  0.5000  0.5000  0.0000  9 K 4.51-4.77, 3 Ba 4.77-4.78
K  0.6667  0.0000  0.2475  9 K 4.51-4.77, 3 Ba 4.77-4.78
Ba  0.3343  0.0000  0.4952  6 Cu 3.33-3.34
Ba  0.3347  0.0000  0.7523  6 Cu 3.33-3.34
Ba  0.8343  0.5000  0.4952  6 Cu 3.33-3.34
Ba  0.8347  0.5000  0.7523  6 Cu 3.33-3.34
Cu  0.0018  0.0000  0.6238  3 Cu 2.61
Cu  0.1684  0.5000  0.6237  3 Cu 2.61
Cu  0.5018  0.5000  0.6238  3 Cu 2.61
Cu  0.6684  0.0000  0.6237  3 Cu 2.61

=====

This record from Alexandria describes a relaxed structure of KMn. The functional is PBE.

Output
**Symmetry**: Pmn2_1, No. 31
**Calculated density**: 2.51 g cm⁻³
**Energy above the lowest structure with this stoichiometry**: 219.7 meV/atom

abc: 14.3339 3.1214 8.3486
angles: 90.00 90.00 90.00
Closest atoms and distances in Å follow each position.
Element x y z (fractional)
K  0.0000  0.2408  0.0000  2 K 3.12
K  0.2231  0.7511  0.6615  2 K 3.12, 1 Mn 3.38
K  0.2769  0.2489  0.1615  2 K 3.12, 1 Mn 3.38
K  0.5000  0.7592  0.5000  2 K 3.12
K  0.7231  0.2489  0.1615  2 K 3.12, 1 Mn 3.38
K  0.7769  0.7511  0.6615  2 K 3.12, 1 Mn 3.38
Mn  0.0000  0.2374  0.5518  4 Mn 2.44
Mn  0.0667  0.7371  0.3580  1 Mn 1.91
Mn  0.4333  0.2629  0.8580  1 Mn 1.91
Mn  0.5000  0.7627  0.0518  4 Mn 2.44
Mn  0.5667  0.2629  0.8580  1 Mn 1.91
Mn  0.9333  0.7371  0.3580  1 Mn 1.91

=====

Number 1: density of states at the Fermi level 0.594 states/eV per atom, formation energy -40.3 kJ/mol of atoms, size of the total moment 0.0 Bohr magnetons per cell. Number 2: density of states at the Fermi level 0.445 states/eV per atom, formation energy -12.4 kJ/mol of atoms, size of the total moment 0.0 Bohr magnetons per cell. Number 3: density of states at the Fermi level 0.664 states/eV per atom, formation energy -3.7 kJ/mol of atoms, size of the total moment 0.0 Bohr magnetons per cell. Number 4: density of states at the Fermi level 0.909 states/eV per atom, formation energy 93.1 kJ/mol of atoms, size of the total moment 10.2 Bohr magnetons per cell.